(1)
Entry from the Alexandria database: a relaxed structure of PmGa5Ag7 (PBE-GGA).

Cell lengths 5.426, 7.169, 7.169 Å; angles 82.16, 67.76, 67.76 degrees
Element x y z (fractional)
Ag 0.342 0.658 0.658
Ag 0.650 0.350 0.350
Ag 0.997 0.351 0.655
Ag 0.997 0.655 0.351
Ag 0.504 0.208 0.784
Ag 0.282 0.218 0.218
Ag 0.504 0.784 0.208
Ga 0.500 0.001 0.495
Ga 0.004 0.495 0.001
Ga 0.718 0.782 0.782
Ga 0.500 0.495 0.001
Ga 0.004 0.001 0.495
Pm 0.000 0.000 0.000

Computed properties:
* total magnetic moment: 0.0 μB/f.u.
* formation energy from the elements: -3.33 kcal/mol of atoms
* crystal system: orthorhombic


(2)
Entry from the Alexandria database: a relaxed structure of DyTm5Cu6 (PBE-GGA).

Cell lengths 4.860, 6.800, 7.692 Å; angles 90.00, 71.48, 90.00 degrees
Element x y z (fractional)
Dy 0.000 0.000 0.000
Tm 0.334 0.500 0.332
Tm 0.000 0.500 0.000
Tm 0.667 0.000 0.666
Tm 0.333 0.000 0.334
Tm 0.666 0.500 0.668
Cu 0.169 0.251 0.663
Cu 0.169 0.749 0.663
Cu 0.831 0.749 0.337
Cu 0.500 0.253 0.000
Cu 0.831 0.251 0.337
Cu 0.500 0.747 0.000

Computed properties:
* total magnetic moment: 0.0 μB/f.u.
* formation energy from the elements: -6.65 kcal/mol of atoms
* crystal system: monoclinic


(3)
Entry from the Alexandria database: a relaxed structure of Tm5Ni2Pd2 (PBE-GGA).

Cell lengths 7.329, 7.250, 8.189 Å; angles 116.28, 90.00, 90.00 degrees
Element x y z (fractional)
Tm 0.327 0.959 0.267
Tm 0.327 0.691 0.733
Tm 0.500 0.500 0.000
Tm 0.173 0.191 0.733
Tm 0.173 0.459 0.267
Tm 0.673 0.309 0.267
Tm 0.673 0.041 0.733
Tm 0.827 0.541 0.733
Tm 0.000 0.000 0.000
Tm 0.827 0.809 0.267
Ni 0.883 0.381 0.000
Ni 0.117 0.619 0.000
Ni 0.383 0.119 0.000
Ni 0.617 0.881 0.000
Pd 0.500 0.707 0.413
Pd 0.500 0.293 0.587
Pd 0.000 0.207 0.413
Pd 0.000 0.793 0.587

Computed properties:
* total magnetic moment: 0.0 μB/f.u.
* formation energy from the elements: -14.18 kcal/mol of atoms
* crystal system: orthorhombic


(4)
Entry from the Alexandria database: a relaxed structure of RbCaRhO3 (PBE-GGA).

Cell lengths 3.896, 6.990, 7.650 Å; angles 103.50, 90.00, 106.18 degrees
Element x y z (fractional)
Rb 0.356 0.713 0.934
Rb 0.644 0.287 0.066
O 0.852 0.704 0.235
O 0.495 0.991 0.693
O 0.505 0.009 0.307
O 0.160 0.320 0.379
O 0.148 0.296 0.765
O 0.840 0.680 0.621
Ca 0.339 0.677 0.425
Ca 0.661 0.323 0.575
Rh 0.004 0.007 0.320
Rh 0.996 0.993 0.680

Computed properties:
* total magnetic moment: 1.7 μB/f.u.
* uncorrected formation energy: -1.58 eV/atom
* crystal system: monoclinic


(5)
Entry from the Alexandria database: a relaxed structure of Y2GaCo4Ge3 (PBE-GGA).

Cell lengths 4.025, 4.025, 9.797 Å; angles 90.00, 90.00, 90.00 degrees
Element x y z (fractional)
Ga 0.500 0.500 0.500
Co 0.500 0.500 0.000
Co 0.000 0.500 0.367
Co 0.500 0.000 0.633
Co 0.000 0.000 0.000
Y 0.500 0.000 0.250
Y 0.000 0.500 0.750
Ge 0.500 0.000 0.871
Ge 0.000 0.500 0.129
Ge 0.000 0.000 0.500

Computed properties:
* total magnetic moment: 0.0 μB/f.u.
* formation energy from the elements: -12.74 kcal/mol of atoms
* crystal system: tetragonal


(6)
Entry from the Alexandria database: a relaxed structure of YHSe3 (PBE-GGA).

Cell lengths 5.568, 5.568, 5.568 Å; angles 90.00, 90.00, 90.00 degrees
Element x y z (fractional)
Se 0.000 0.500 0.000
Se 0.500 0.000 0.000
Se 0.000 0.000 0.500
H 0.500 0.500 0.500
Y 0.000 0.000 0.000

Computed properties:
* polymorph energy (0 for the lowest one): 325 meV per atom
* total magnetic moment: 3.6 μB/f.u.
* crystal system: cubic